A relaxed structure of Ho8Er4Tm. Source: the Alexandria database, functional GGA-PBE.

Cell and atoms, written as POSCAR:
```
Ho8Er4Tm
1.0
3.5869 2.0709 9.0800
-3.5869 2.0709 9.0800
0.0000 -4.1418 9.0800
Ho Er Tm
8 4 1
Cartesian
-1.9726 -1.1389 15.4473 Ho
0.0000 0.0000 5.8488 Ho
0.0000 -2.2778 11.7927 Ho
-1.9726 1.1389 11.7927 Ho
1.9726 -1.1389 15.4473 Ho
0.0000 2.2778 15.4473 Ho
0.0000 0.0000 21.3913 Ho
1.9726 1.1389 11.7927 Ho
0.0000 0.0000 0.0000 Er
-1.7934 -1.0354 9.0800 Er
-1.7934 1.0354 18.1600 Er
0.0000 2.0709 9.0800 Er
0.0000 0.0000 13.6200 Tm
```

Results
- Calculated volume: 31.1 Å³ per atom
- E_form: 22.0 kJ per mole of atoms
- Total magnetization: 0.00 μB/f.u.

A relaxed structure of Ho3Er6Tm2. Source: the Alexandria database, functional GGA-PBE.

Cell and atoms, written as POSCAR:
```
Ho3Er6Tm2
1.0
1.7509 1.0109 31.3532
-1.7509 1.0109 31.3532
0.0000 -2.0218 31.3532
Ho Er Tm
3 6 2
Cartesian
0.0000 0.0000 0.0000 Ho
0.0000 0.0000 25.6371 Ho
0.0000 0.0000 68.4226 Ho
0.0000 0.0000 8.5766 Er
0.0000 0.0000 17.1022 Er
0.0000 0.0000 34.2118 Er
0.0000 0.0000 59.8479 Er
0.0000 0.0000 76.9575 Er
0.0000 0.0000 85.4831 Er
0.0000 0.0000 42.7656 Tm
0.0000 0.0000 51.2942 Tm
```

Results
- Calculated volume: 30.3 Å³ per atom
- E_form: 2.4 kJ per mole of atoms
- Total magnetization: 0.00 μB/f.u.

A relaxed structure of Ho7Er5Tm. Source: the Alexandria database, functional GGA-PBE.

Cell and atoms, written as POSCAR:
```
Ho7Er5Tm
1.0
6.3852 -5.7475 0.0000
6.3852 5.7475 0.0000
-3.1653 0.0000 5.5267
Ho Er Tm
7 5 1
Cartesian
0.0000 0.0000 0.0000 Ho
-1.4372 0.0000 2.5141 Ho
1.3749 1.9009 2.8091 Ho
3.2035 0.0000 0.1067 Ho
1.3749 -1.9009 2.8091 Ho
9.6631 1.8959 0.2246 Ho
9.6631 -1.8959 0.2246 Ho
4.3192 3.1452 3.6031 Er
6.0192 1.8175 0.6616 Er
4.4081 0.0000 3.4698 Er
6.0192 -1.8175 0.6616 Er
4.3192 -3.1452 3.6031 Er
7.9089 0.0000 2.8126 Tm
```

Results
- Calculated volume: 31.2 Å³ per atom
- E_form: 13.6 kJ per mole of atoms
- Total magnetization: 0.00 μB/f.u.

A relaxed structure of Ho4ErTm. Source: the Alexandria database, functional GGA-PBE.

Cell and atoms, written as POSCAR:
```
Ho4ErTm
1.0
3.5092 0.0000 0.0000
1.7451 5.8087 0.0000
1.7435 1.5763 8.9620
Ho Er Tm
4 1 1
Cartesian
0.8749 0.2651 1.4920 Ho
2.6192 3.9561 5.9776 Ho
6.1228 7.1199 7.4700 Ho
4.3786 3.4288 2.9844 Ho
2.6263 0.7882 4.4810 Er
2.6271 2.9043 0.0000 Tm
```

Results
- Calculated volume: 30.4 Å³ per atom
- E_form: 1.9 kJ per mole of atoms
- Total magnetization: 0.00 μB/f.u.

A relaxed structure of Ho3Er3Tm4. Source: the Alexandria database, functional GGA-PBE.

Cell and atoms, written as POSCAR:
```
Ho3Er3Tm4
1.0
3.6276 0.0000 0.0000
0.0000 6.5040 6.5059
0.0000 -6.5040 6.5059
Ho Er Tm
3 3 4
Cartesian
0.0000 0.0000 0.0000 Ho
0.0000 -2.2439 8.7488 Ho
0.0000 2.2439 8.7488 Ho
0.0000 0.0000 4.4873 Er
1.8138 -3.2454 5.4938 Er
1.8138 3.2454 5.4938 Er
1.8138 -1.6331 2.2463 Tm
1.8138 1.6331 2.2463 Tm
1.8138 0.0000 7.1117 Tm
1.8138 0.0000 10.3849 Tm
```

Results
- Calculated volume: 30.7 Å³ per atom
- E_form: 9.0 kJ per mole of atoms
- Total magnetization: 0.00 μB/f.u.

A relaxed structure of Ho5Er2Tm. Source: the Alexandria database, functional GGA-PBE.

Cell and atoms, written as POSCAR:
```
Ho5Er2Tm
1.0
7.0116 0.0000 0.0000
0.0000 14.0235 0.0000
0.0000 0.0000 4.9534
Ho Er Tm
10 4 2
Cartesian
0.0000 0.0000 0.0000 Ho
7.0081 3.5086 0.0000 Ho
0.0035 10.5148 0.0000 Ho
1.7515 1.7508 2.4767 Ho
1.7543 8.7625 2.4767 Ho
3.5023 3.5031 0.0000 Ho
3.5058 7.0117 0.0000 Ho
3.5093 10.5204 0.0000 Ho
5.2573 5.2609 2.4767 Ho
5.2601 12.2727 2.4767 Ho
1.7501 5.2624 2.4767 Er
1.7557 12.2741 2.4767 Er
5.2559 1.7494 2.4767 Er
5.2614 8.7611 2.4767 Er
0.0000 7.0117 0.0000 Tm
3.5058 0.0000 0.0000 Tm
```

Results
- Calculated volume: 30.4 Å³ per atom
- E_form: 1.8 kJ per mole of atoms
- Total magnetization: 0.00 μB/f.u.

A relaxed structure of HoEr5Tm5. Source: the Alexandria database, functional GGA-PBE.

Cell and atoms, written as POSCAR:
```
HoEr5Tm5
1.0
6.7144 0.0000 0.0000
2.0295 6.5547 0.0000
1.8594 1.4647 7.8213
Ho Er Tm
1 5 5
Cartesian
0.0000 0.0000 0.0000 Ho
1.0147 3.2773 0.0000 Er
3.0112 4.6485 2.8037 Er
4.9780 5.9632 5.1171 Er
5.6253 2.0563 2.7043 Er
7.5921 3.3709 5.0176 Er
2.2454 1.3619 2.4872 Tm
4.2008 2.6687 5.6364 Tm
4.3719 3.2773 0.0000 Tm
6.4025 5.3508 2.1849 Tm
8.3579 6.6576 5.3341 Tm
```

Results
- Calculated volume: 31.3 Å³ per atom
- E_form: 14.4 kJ per mole of atoms
- Total magnetization: 0.00 μB/f.u.

A relaxed structure of HoEr4Tm7. Source: the Alexandria database, functional GGA-PBE.

Cell and atoms, written as POSCAR:
```
HoEr4Tm7
1.0
6.4079 0.0000 0.0000
1.0175 6.6093 0.0000
2.0458 0.4437 8.6241
Ho Er Tm
1 4 7
Cartesian
0.0000 0.0000 0.0000 Ho
2.3084 4.2215 2.6769 Er
3.9704 1.5913 6.1504 Er
5.5008 5.4617 2.4738 Er
7.1628 2.8315 5.9472 Er
0.5088 3.3047 0.0000 Tm
2.1094 0.8895 3.3388 Tm
4.0657 4.9322 5.5409 Tm
3.4573 1.6686 0.4321 Tm
6.0139 5.3844 8.1921 Tm
5.4054 2.1208 3.0832 Tm
7.3618 6.1635 5.2853 Tm
```

Results
- Calculated volume: 30.4 Å³ per atom
- E_form: 9.0 kJ per mole of atoms
- Total magnetization: 0.00 μB/f.u.

What is the formula in the fourth record?
Ho4ErTm

What is the formula in the second record?
Ho3Er6Tm2

What did the sixth record say?
A relaxed structure of Ho5Er2Tm. Source: the Alexandria database, functional GGA-PBE.

Cell and atoms, written as POSCAR:
```
Ho5Er2Tm
1.0
7.0116 0.0000 0.0000
0.0000 14.0235 0.0000
0.0000 0.0000 4.9534
Ho Er Tm
10 4 2
Cartesian
0.0000 0.0000 0.0000 Ho
7.0081 3.5086 0.0000 Ho
0.0035 10.5148 0.0000 Ho
1.7515 1.7508 2.4767 Ho
1.7543 8.7625 2.4767 Ho
3.5023 3.5031 0.0000 Ho
3.5058 7.0117 0.0000 Ho
3.5093 10.5204 0.0000 Ho
5.2573 5.2609 2.4767 Ho
5.2601 12.2727 2.4767 Ho
1.7501 5.2624 2.4767 Er
1.7557 12.2741 2.4767 Er
5.2559 1.7494 2.4767 Er
5.2614 8.7611 2.4767 Er
0.0000 7.0117 0.0000 Tm
3.5058 0.0000 0.0000 Tm
```

Results
- Calculated volume: 30.4 Å³ per atom
- E_form: 1.8 kJ per mole of atoms
- Total magnetization: 0.00 μB/f.u.

Which of these has the highest calculated volume?
HoEr5Tm5